No. 1
DFT (PBE) results for a geometry-optimized VAgPt2 structure.

Values from the calculation:
Final energy: -6.27 eV per atom
ΔE_f: -0.255 eV per atom

a = 2.8065 Å, b = 2.8065 Å, c = 27.4150 Å
α = 90.00°, β = 90.00°, γ = 120.00°
Space group R-3m (No. 166, hexagonal axes)
Asymmetric unit:
V1 0.0000 0.0000 0.0000 x3
Ag1 0.0000 0.0000 0.5000 x3
Pt1 0.0000 0.0000 0.2572 x6



No. 2
DFT (PBE) results for a geometry-optimized Ho3TmMg4 structure.

Values from the calculation:
Energy relative to the lowest polymorph listed for this composition: 245.1 meV per atom
Final energy: -2.90 eV per atom
ΔE_f: 0.174 eV per atom

a = 18.1281 Å, b = 3.4223 Å, c = 7.9778 Å
α = 90.00°, β = 110.51°, γ = 90.00°
Space group C2/m (No. 12)
Asymmetric unit:
Ho1 0.0000 0.0000 0.0000 x2
Ho2 0.1971 0.0000 0.6488 x4
Tm1 0.0000 0.5000 0.5000 x2
Mg1 0.1223 0.5000 0.2980 x4
Mg2 0.1523 0.5000 0.9477 x4



No. 3
DFT (PBE) results for a geometry-optimized CaEuPdRh structure.

Values from the calculation:
Final energy: -6.67 eV per atom
ΔE_f: -0.464 eV per atom

a = 7.0419 Å, b = 7.0419 Å, c = 7.0419 Å
α = 90.00°, β = 90.00°, γ = 90.00°
Space group F-43m (No. 216)
Asymmetric unit:
Ca1 0.0000 0.0000 0.0000 x4
Eu1 0.0000 0.0000 0.5000 x4
Pd1 0.2500 0.2500 0.2500 x4
Rh1 0.2500 0.2500 0.7500 x4



No. 4
DFT (PBE) results for a geometry-optimized HfTiAu2 structure.

Values from the calculation:
Energy relative to the lowest polymorph listed for this composition: 12.4 meV per atom
Final energy: -6.48 eV per atom
ΔE_f: -0.376 eV per atom

a = 3.2057 Å, b = 3.2057 Å, c = 7.1834 Å
α = 90.00°, β = 90.00°, γ = 90.00°
Space group P4/mmm (No. 123)
Asymmetric unit:
Hf1 0.0000 0.0000 0.0000 x1
Ti1 0.0000 0.0000 0.5000 x1
Au1 0.5000 0.5000 0.2675 x2



Q: Look up the final energy of the third one.
A: -6.67 eV per atom